A plane-wave DFT calculation with PBE was carried out for Cs2AgGe after structural relaxation.

POSCAR file:
```
Cs2AgGe
1.0
0.000 4.535 4.535
4.535 0.000 4.535
4.535 4.535 0.000
Cs Ag Ge
2 1 1
Direct
0.250 0.250 0.250
0.750 0.750 0.750
0.000 0.000 0.000
0.500 0.500 0.500
```

## Properties
Relative energy among the computed polymorphs ... 344 meV/atom


A plane-wave DFT calculation with PBE was carried out for ZrTcAs after structural relaxation.

POSCAR file:
```
ZrTcAs
1.0
3.280 0.000 0.000
-1.640 2.840 0.000
0.000 0.000 5.905
Zr Tc As
1 1 1
Direct
0.000 0.000 0.000
0.333 0.667 0.634
0.667 0.333 0.357
```

## Properties
Relative energy among the computed polymorphs ... 690 meV/atom


A plane-wave DFT calculation with PBE was carried out for Sc2NbGaN after structural relaxation.

POSCAR file:
```
Sc2NbGaN
1.0
4.270 0.000 0.000
0.000 4.270 0.000
0.000 0.000 4.644
Sc Nb Ga N
2 1 1 1
Direct
0.000 0.500 0.000
0.500 0.000 0.000
0.000 0.000 0.500
0.500 0.500 0.500
0.500 0.500 0.000
```

## Properties
Relative energy among the computed polymorphs ... 557 meV/atom


A plane-wave DFT calculation with PBE was carried out for Na5Ge3Pb12 after structural relaxation.

POSCAR file:
```
Na5Ge3Pb12
1.0
-9.034 9.034 9.034
9.034 -9.034 9.034
9.034 9.034 -9.034
Na Ge Pb
20 12 48
Direct
0.000 0.000 0.000
0.000 0.000 0.500
0.000 0.500 0.000
0.000 0.500 0.500
0.125 0.750 0.875
0.125 0.875 0.250
0.250 0.125 0.875
0.250 0.625 0.375
0.375 0.250 0.625
0.375 0.625 0.750
0.500 0.000 0.000
0.500 0.000 0.500
0.500 0.500 0.000
0.500 0.500 0.500
0.625 0.375 0.250
0.625 0.750 0.375
0.750 0.375 0.625
0.750 0.875 0.125
0.875 0.125 0.750
0.875 0.250 0.125
0.125 0.250 0.375
0.125 0.375 0.750
0.250 0.375 0.125
0.250 0.875 0.625
0.375 0.125 0.250
0.375 0.750 0.125
0.625 0.250 0.875
0.625 0.875 0.750
0.750 0.125 0.375
0.750 0.625 0.875
0.875 0.625 0.250
0.875 0.750 0.625
0.061 0.642 0.407
0.061 0.919 0.654
0.081 0.235 0.142
0.081 0.346 0.939
0.093 0.735 0.654
0.093 0.858 0.439
0.142 0.081 0.235
0.142 0.561 0.907
0.154 0.235 0.593
0.154 0.419 0.561
0.235 0.142 0.081
0.235 0.593 0.154
0.265 0.346 0.907
0.265 0.419 0.358
0.346 0.907 0.265
0.346 0.939 0.081
0.358 0.265 0.419
0.358 0.593 0.939
0.407 0.061 0.642
0.407 0.846 0.765
0.419 0.358 0.265
0.419 0.561 0.154
0.439 0.093 0.858
0.439 0.846 0.581
0.561 0.154 0.419
0.561 0.907 0.142
0.581 0.439 0.846
0.581 0.642 0.735
0.593 0.154 0.235
0.593 0.939 0.358
0.642 0.407 0.061
0.642 0.735 0.581
0.654 0.061 0.919
0.654 0.093 0.735
0.735 0.581 0.642
0.735 0.654 0.093
0.765 0.407 0.846
0.765 0.858 0.919
0.846 0.581 0.439
0.846 0.765 0.407
0.858 0.439 0.093
0.858 0.919 0.765
0.907 0.142 0.561
0.907 0.265 0.346
0.919 0.654 0.061
0.919 0.765 0.858
0.939 0.081 0.346
0.939 0.358 0.593
```

## Properties
Uncorrected energy ... -3.086 eV per atom


A plane-wave DFT calculation with PBE was carried out for PuTl2SbTe4 after structural relaxation.

POSCAR file:
```
PuTl2SbTe4
1.0
7.888 0.000 0.000
0.000 4.504 0.000
-2.597 0.000 7.992
Pu Tl Sb Te
1 2 1 4
Direct
0.000 0.000 0.000
0.000 0.500 0.500
0.500 0.000 0.500
0.500 0.500 0.000
0.239 0.500 0.213
0.265 0.000 0.785
0.735 0.000 0.215
0.761 0.500 0.787
```

## Properties
Uncorrected energy ... -4.957 eV per atom


A plane-wave DFT calculation with PBE was carried out for CeReC2 after structural relaxation.

POSCAR file:
```
CeReC2
1.0
1.636 0.945 5.516
-1.636 0.945 5.516
0.000 -1.889 5.516
Ce Re C
1 1 2
Direct
0.000 0.000 0.000
0.500 0.500 0.500
0.235 0.235 0.235
0.765 0.765 0.765
```

## Properties
Relative energy among the computed polymorphs ... 0 meV/atom